# CaFeAu2 (PBEsol, relaxed)
# - total DFT energy (no corrections) (eV per atom) = -4.89
data_CaFeAu2
_space_group_name_H-M_alt 'P m m m'
_space_group_IT_number 47
_space_group_name_Hall '-P 2 2'
_cell_length_a 3.136
_cell_length_b 3.397
_cell_length_c 6.856
_cell_angle_alpha 90.00
_cell_angle_beta 90.00
_cell_angle_gamma 90.00
loop_
_atom_site_label
_atom_site_type_symbol
_atom_site_fract_x
_atom_site_fract_y
_atom_site_fract_z
Ca1 Ca 0.000 0.000 0.000
Fe1 Fe 0.000 0.000 0.500
Au1 Au 0.500 0.500 0.295



# Ca2FeAu (PBEsol, relaxed)
# - total DFT energy (no corrections) (eV per atom) = -4.20
data_Ca2FeAu
_space_group_name_H-M_alt 'I 4/m m m'
_space_group_IT_number 139
_space_group_name_Hall '-I 4 2'
_cell_length_a 4.881
_cell_length_b 4.881
_cell_length_c 7.323
_cell_angle_alpha 90.00
_cell_angle_beta 90.00
_cell_angle_gamma 90.00
loop_
_atom_site_label
_atom_site_type_symbol
_atom_site_fract_x
_atom_site_fract_y
_atom_site_fract_z
Ca1 Ca 0.000 0.500 0.250
Fe1 Fe 0.000 0.000 0.000
Au1 Au 0.000 0.000 0.500



# CaFeAu2 (PBEsol, relaxed)
# - total DFT energy (no corrections) (eV per atom) = -4.71
data_CaFeAu2
_space_group_name_H-M_alt 'F -4 3 m'
_space_group_IT_number 216
_space_group_name_Hall 'F -4 2 3'
_cell_length_a 6.584
_cell_length_b 6.584
_cell_length_c 6.584
_cell_angle_alpha 90.00
_cell_angle_beta 90.00
_cell_angle_gamma 90.00
loop_
_atom_site_label
_atom_site_type_symbol
_atom_site_fract_x
_atom_site_fract_y
_atom_site_fract_z
Ca1 Ca 0.000 0.000 0.000
Fe1 Fe 0.250 0.250 0.250
Au1 Au 0.000 0.000 0.500
Au2 Au 0.250 0.250 0.750



# Ca2Ga7Au (PBEsol, relaxed)
# - total DFT energy (no corrections) (eV per atom) = -3.64
data_Ca2Ga7Au
_space_group_name_H-M_alt 'P 4 m m'
_space_group_IT_number 99
_space_group_name_Hall 'P 4 -2'
_cell_length_a 4.177
_cell_length_b 4.177
_cell_length_c 11.121
_cell_angle_alpha 90.00
_cell_angle_beta 90.00
_cell_angle_gamma 90.00
loop_
_atom_site_label
_atom_site_type_symbol
_atom_site_fract_x
_atom_site_fract_y
_atom_site_fract_z
Ca1 Ca 0.000 0.000 0.000
Ca2 Ca 0.500 0.500 0.500
Ga1 Ga 0.000 0.000 0.388
Ga2 Ga 0.000 0.500 0.249
Ga3 Ga 0.000 0.500 0.753
Ga4 Ga 0.500 0.500 0.111
Ga5 Ga 0.500 0.500 0.892
Au1 Au 0.000 0.000 0.612



Number 1: energy relative to the elements -0.153 eV per atom. Number 2: energy relative to the elements 0.084 eV per atom. Number 3: energy relative to the elements 0.024 eV per atom. Number 4: energy relative to the elements -0.481 eV per atom.